# 1
Here is a geometry-optimized GeI2O2 structure from Alexandria. Energies are from GGA-PBE.

ΔE to the lowest computed polymorph in kJ/mol of formula units: 333
Symmetry: I4/mmm

a b c (Å): 6.881 6.881 6.881
angles (deg): 147.59 147.59 46.49
Sites, in units of the cell vectors:
Ge 0.000 0.000 0.000
I 0.367 0.367 0.000
I 0.633 0.633 0.000
O 0.250 0.750 0.500
O 0.750 0.250 0.500

=====

# 2
Here is a geometry-optimized GeI2O structure from Alexandria. Energies are from GGA-PBE.

ΔE to the lowest computed polymorph in kJ/mol of formula units: 76
Symmetry: Fm-3m

a b c (Å): 5.040 5.040 5.040
angles (deg): 60.00 60.00 60.00
Sites, in units of the cell vectors:
Ge 0.000 0.000 0.000
I 0.250 0.250 0.250
I 0.750 0.750 0.750
O 0.500 0.500 0.500

=====

# 3
Here is a geometry-optimized Ge3IO structure from Alexandria. Energies are from GGA-PBE.

ΔE to the lowest computed polymorph in kJ/mol of formula units: 633
Symmetry: Pm-3m

a b c (Å): 5.539 5.539 5.539
angles (deg): 90.00 90.00 90.00
Sites, in units of the cell vectors:
Ge 0.000 0.000 0.500
Ge 0.000 0.500 0.000
Ge 0.500 0.000 0.000
I 0.000 0.000 0.000
O 0.500 0.500 0.500

=====

# 4
Here is a geometry-optimized GeI2O8 structure from Alexandria. Energies are from GGA-PBE.

Symmetry: C2/m

a b c (Å): 6.081 6.081 4.850
angles (deg): 90.81 90.81 94.75
Sites, in units of the cell vectors:
Ge 0.000 0.000 0.000
I 0.268 0.268 0.393
I 0.732 0.732 0.607
O 0.009 0.723 0.789
O 0.164 0.164 0.735
O 0.277 0.991 0.211
O 0.480 0.480 0.139
O 0.520 0.520 0.861
O 0.723 0.009 0.789
O 0.836 0.836 0.265
O 0.991 0.277 0.211

=====

# 5
Here is a geometry-optimized GeI2O2 structure from Alexandria. Energies are from GGA-PBE.

ΔE to the lowest computed polymorph in kJ/mol of formula units: 0
Symmetry: P4/mmm

a b c (Å): 4.098 4.098 6.563
angles (deg): 90.00 90.00 90.00
Sites, in units of the cell vectors:
Ge 0.000 0.000 0.000
I 0.000 0.000 0.500
I 0.500 0.500 0.500
O 0.000 0.500 0.000
O 0.500 0.000 0.000

=====

# 6
Here is a geometry-optimized GeI2O2 structure from Alexandria. Energies are from GGA-PBE.

ΔE to the lowest computed polymorph in kJ/mol of formula units: 316
Symmetry: P4/mmm

a b c (Å): 4.908 4.908 4.091
angles (deg): 90.00 90.00 90.00
Sites, in units of the cell vectors:
Ge 0.000 0.000 0.000
I 0.000 0.500 0.500
I 0.500 0.000 0.500
O 0.500 0.500 0.000
O 0.500 0.500 0.500

=====

| no. | E_form (uncorrected) (meV per atom) |
| --- | --- |
| 1 | 720 |
| 2 | 637 |
| 3 | 1561 |
| 4 | -341 |
| 5 | 30 |
| 6 | 685 |